1.
Below is an optimized crystal structure of CsAlSn, with properties calculated at the PBE level.

## Properties
M_tot: 0.00 μB per formula unit
space-group type: Pnma (62)
formation energy from the elements: -48 meV per atom

a b c (Å): 9.131 5.182 8.197
angles (deg): 90.00 90.00 90.00
Element x y z (fractional)
Al (0.155, 0.750, 0.589)
Sn (0.836, 0.750, 0.597)
Cs (0.507, 0.250, 0.658)
Al (0.845, 0.250, 0.411)
Sn (0.336, 0.750, 0.903)
Al (0.345, 0.250, 0.089)
Sn (0.664, 0.250, 0.097)
Al (0.655, 0.750, 0.911)
Cs (0.993, 0.750, 0.158)
Sn (0.164, 0.250, 0.403)
Cs (0.493, 0.750, 0.342)
Cs (0.007, 0.250, 0.842)

2.
Below is an optimized crystal structure of CsAlSn3, with properties calculated at the PBE level.

## Properties
M_tot: 0.00 μB per formula unit
space-group type: Pm-3m (221)
formation energy from the elements: 212 meV per atom

a b c (Å): 5.564 5.564 5.564
angles (deg): 90.00 90.00 90.00
Element x y z (fractional)
Cs (0.500, 0.500, 0.500)
Al (0.000, 0.000, 0.000)
Sn (0.500, 0.000, 0.000)
Sn (0.000, 0.000, 0.500)
Sn (0.000, 0.500, 0.000)

3.
Below is an optimized crystal structure of Cs4AlSn4, with properties calculated at the PBE level.

## Properties
M_tot: 1.83 μB per formula unit
space-group type: I-42m (121)
formation energy from the elements: 39 meV per atom

a b c (Å): 7.773 9.957 7.773
angles (deg): 67.03 90.00 112.97
Element x y z (fractional)
Cs (0.192, 0.741, 0.451)
Sn (0.272, 0.279, 0.994)
Cs (0.808, 0.259, 0.192)
Sn (0.994, 0.721, 0.006)
Cs (0.549, 0.741, 0.808)
Sn (0.006, 0.279, 0.728)
Cs (0.451, 0.259, 0.549)
Sn (0.728, 0.721, 0.272)
Al (0.000, 0.000, 0.000)

4.
Below is an optimized crystal structure of CsAlSn, with properties calculated at the PBE level.

## Properties
M_tot: 0.00 μB per formula unit
space-group type: Pnma (62)
formation energy from the elements: 54 meV per atom

a b c (Å): 12.996 5.148 6.986
angles (deg): 90.00 90.00 90.00
Element x y z (fractional)
Al (0.000, 0.000, 0.000)
Sn (0.500, 0.250, 0.133)
Cs (0.250, 0.750, 0.251)
Sn (0.000, 0.250, 0.367)
Al (0.000, 0.500, 0.000)
Sn (0.500, 0.750, 0.867)
Cs (0.750, 0.750, 0.249)
Al (0.500, 0.000, 0.500)
Cs (0.250, 0.250, 0.751)
Sn (0.000, 0.750, 0.633)
Al (0.500, 0.500, 0.500)
Cs (0.750, 0.250, 0.749)

5.
Below is an optimized crystal structure of CsAlSn, with properties calculated at the PBE level.

## Properties
M_tot: 0.00 μB per formula unit
space-group type: P-6m2 (187)
formation energy from the elements: -110 meV per atom

a b c (Å): 6.346 4.660 4.660
angles (deg): 120.00 90.00 90.00
Element x y z (fractional)
Al (0.167, 0.667, 0.333)
Cs (0.667, 0.333, 0.667)
Sn (0.167, 0.000, 0.000)

6.
Below is an optimized crystal structure of Cs3AlSn, with properties calculated at the PBE level.

## Properties
M_tot: 0.00 μB per formula unit
space-group type: Pm-3m (221)
formation energy from the elements: 522 meV per atom

a b c (Å): 7.469 7.469 7.469
angles (deg): 90.00 90.00 90.00
Element x y z (fractional)
Cs (0.000, 0.000, 0.500)
Al (0.500, 0.500, 0.500)
Cs (0.500, 0.000, 0.000)
Cs (0.000, 0.500, 0.000)
Sn (0.000, 0.000, 0.000)

7.
Below is an optimized crystal structure of CsAlSn, with properties calculated at the PBE level.

## Properties
M_tot: 0.00 μB per formula unit
space-group type: C2/m (12)
formation energy from the elements: -26 meV per atom

a b c (Å): 7.455 7.457 6.514
angles (deg): 67.07 67.07 51.00
Element x y z (fractional)
Al (0.024, 0.794, 0.020)
Sn (0.747, 0.120, 0.285)
Cs (0.033, 0.406, 0.691)
Al (0.421, 0.397, 0.020)
Cs (0.412, 0.785, 0.349)
Sn (0.699, 0.071, 0.755)

8.
Below is an optimized crystal structure of Cs2AlTcSn, with properties calculated at the PBE level.

## Properties
M_tot: 4.35 μB per formula unit
space-group type: P4/mmm (123)
formation energy from the elements: 1251 meV per atom

a b c (Å): 7.604 5.035 7.604
angles (deg): 90.00 90.00 90.00
Element x y z (fractional)
Cs (0.500, 0.000, 0.000)
Tc (0.500, 0.500, 0.500)
Sn (0.000, 0.000, 0.000)
Al (0.000, 0.500, 0.000)
Cs (0.000, 0.000, 0.500)

Which value of M_tot does entry 5 give?
0.00 μB per formula unit

Copy entry 3 word for word.
Below is an optimized crystal structure of Cs4AlSn4, with properties calculated at the PBE level.

## Properties
M_tot: 1.83 μB per formula unit
space-group type: I-42m (121)
formation energy from the elements: 39 meV per atom

a b c (Å): 7.773 9.957 7.773
angles (deg): 67.03 90.00 112.97
Element x y z (fractional)
Cs (0.192, 0.741, 0.451)
Sn (0.272, 0.279, 0.994)
Cs (0.808, 0.259, 0.192)
Sn (0.994, 0.721, 0.006)
Cs (0.549, 0.741, 0.808)
Sn (0.006, 0.279, 0.728)
Cs (0.451, 0.259, 0.549)
Sn (0.728, 0.721, 0.272)
Al (0.000, 0.000, 0.000)